# MgCoPbO4

MgCoPbO4 after structural relaxation (PBE with a Hubbard U, Alexandria).

* density: 6.56 g/cm3
* symmetry: Imma
* M_tot: 5.97 μB/cell
* final energy: -0.2111 Ha/atom

abc: 6.3203 6.3203 6.3203
angles: 121.12 118.16 90.64
Last column: nearest neighbours and their distance in Å.
Fractional positions:
Mg 0.3845 0.1345 0.2500  4 O 2.02-2.06
Mg 0.6155 0.8655 0.7500  4 O 2.02-2.06
Co 0.0000 0.0000 0.5000  6 O 2.16-2.17
Co 0.0000 0.5000 0.0000  6 O 2.16-2.17
Pb 0.0000 0.5000 0.5000  6 O 2.17-2.23
Pb 0.5000 0.5000 0.0000  6 O 2.17-2.23
O 0.2239 0.7435 0.4803  1 Mg 2.06, 2 Co 2.16, 1 Pb 2.17
O 0.2368 0.2565 0.9803  1 Mg 2.06, 2 Co 2.16, 1 Pb 2.17
O 0.2436 0.2484 0.5048  1 Mg 2.02, 1 Co 2.17, 2 Pb 2.23
O 0.2436 0.7387 0.9952  1 Mg 2.02, 1 Co 2.17, 2 Pb 2.23
O 0.7564 0.2613 0.0048  1 Mg 2.02, 1 Co 2.17, 2 Pb 2.23
O 0.7564 0.7516 0.4952  1 Mg 2.02, 1 Co 2.17, 2 Pb 2.23
O 0.7632 0.7435 0.0197  1 Mg 2.06, 2 Co 2.16, 1 Pb 2.17
O 0.7761 0.2565 0.5197  1 Mg 2.06, 2 Co 2.16, 1 Pb 2.17